*w*
Compound: Ba2AgOs
Source: Alexandria
Functional: GGA-PBE
Structure: optimized geometry

CIF file:
```
data_Ba2AgOs
_chemical_formula_sum 'Ba8 Ag4 Os4'
_space_group_name_H-M_alt 'F -4 3 m'
_space_group_IT_number 216
_space_group_name_Hall 'F -4 2 3'
_cell_length_a 7.5682
_cell_length_b 7.5682
_cell_length_c 7.5682
_cell_angle_alpha 90.00
_cell_angle_beta 90.00
_cell_angle_gamma 90.00
loop_
_atom_site_label
_atom_site_fract_x
_atom_site_fract_y
_atom_site_fract_z
Ba1 0.0000 0.0000 0.0000
Ba2 0.2500 0.2500 0.2500
Ag1 0.0000 0.0000 0.5000
Os1 0.2500 0.2500 0.7500
```

M_tot, μB per atom: 0.16
D(E_F), states/eV/cell: 21.5

*x*
Compound: Ba2AgOs
Source: Alexandria
Functional: GGA-PBE
Structure: optimized geometry

CIF file:
```
data_Ba2AgOs
_chemical_formula_sum 'Ba4 Ag2 Os2'
_space_group_name_H-M_alt 'A m m 2'
_space_group_IT_number 38
_space_group_name_Hall 'A 2 -2'
_cell_length_a 4.7805
_cell_length_b 4.8307
_cell_length_c 11.4217
_cell_angle_alpha 90.00
_cell_angle_beta 90.00
_cell_angle_gamma 90.00
loop_
_atom_site_label
_atom_site_fract_x
_atom_site_fract_y
_atom_site_fract_z
Ba1 0.0000 0.0000 0.0000
Ba2 0.5000 0.0000 0.2845
Ag1 0.5000 0.0000 0.5877
Os1 0.0000 0.0000 0.6836
```

M_tot, μB per atom: 0.00
D(E_F), states/eV/cell: 8.5

*y*
Compound: Ba2AgOs
Source: Alexandria
Functional: GGA-PBE
Structure: optimized geometry

CIF file:
```
data_Ba2AgOs
_chemical_formula_sum 'Ba2 Ag1 Os1'
_space_group_name_H-M_alt 'P 4/m m m'
_space_group_IT_number 123
_space_group_name_Hall '-P 4 2'
_cell_length_a 3.7571
_cell_length_b 3.7571
_cell_length_c 8.6321
_cell_angle_alpha 90.00
_cell_angle_beta 90.00
_cell_angle_gamma 90.00
loop_
_atom_site_label
_atom_site_fract_x
_atom_site_fract_y
_atom_site_fract_z
Ba1 0.0000 0.0000 0.2206
Ag1 0.5000 0.5000 0.5000
Os1 0.5000 0.5000 0.0000
```

M_tot, μB per atom: 0.13
D(E_F), states/eV/cell: 5.5

*z*
Compound: Ba2AgOs
Source: Alexandria
Functional: GGA-PBE
Structure: optimized geometry

CIF file:
```
data_Ba2AgOs
_chemical_formula_sum 'Ba4 Ag2 Os2'
_space_group_name_H-M_alt 'I m m 2'
_space_group_IT_number 44
_space_group_name_Hall 'I 2 -2'
_cell_length_a 3.7706
_cell_length_b 5.4131
_cell_length_c 11.7686
_cell_angle_alpha 90.00
_cell_angle_beta 90.00
_cell_angle_gamma 90.00
loop_
_atom_site_label
_atom_site_fract_x
_atom_site_fract_y
_atom_site_fract_z
Ba1 0.0000 0.0000 0.0000
Ba2 0.0000 0.5000 0.2001
Ag1 0.0000 0.0000 0.4025
Os1 0.0000 0.5000 0.7334
```

M_tot, μB per atom: 0.13
D(E_F), states/eV/cell: 9.8

Which structure is the most stable? The one labeled *x*.

*w*
Compound: Ba2AgOs
Source: Alexandria
Functional: GGA-PBE
Structure: optimized geometry

CIF file:
```
data_Ba2AgOs
_chemical_formula_sum 'Ba2 Ag1 Os1'
_space_group_name_H-M_alt 'P 4 m m'
_space_group_IT_number 99
_space_group_name_Hall 'P 4 -2'
_cell_length_a 3.7798
_cell_length_b 3.7798
_cell_length_c 9.2078
_cell_angle_alpha 90.00
_cell_angle_beta 90.00
_cell_angle_gamma 90.00
loop_
_atom_site_label
_atom_site_fract_x
_atom_site_fract_y
_atom_site_fract_z
Ba1 0.0000 0.0000 0.0000
Ba2 0.5000 0.5000 0.4415
Ag1 0.5000 0.5000 0.7703
Os1 0.0000 0.0000 0.6813
```

M_tot, μB per atom: 0.00
D(E_F), states/eV/cell: 5.0

*x*
Compound: Ba2AgOs
Source: Alexandria
Functional: GGA-PBE
Structure: optimized geometry

CIF file:
```
data_Ba2AgOs
_chemical_formula_sum 'Ba4 Ag2 Os2'
_space_group_name_H-M_alt 'I -4 m 2'
_space_group_IT_number 119
_space_group_name_Hall 'I -4 -2'
_cell_length_a 4.7492
_cell_length_b 4.7492
_cell_length_c 10.0791
_cell_angle_alpha 90.00
_cell_angle_beta 90.00
_cell_angle_gamma 90.00
loop_
_atom_site_label
_atom_site_fract_x
_atom_site_fract_y
_atom_site_fract_z
Ba1 0.0000 0.0000 0.0000
Ba2 0.0000 0.5000 0.2500
Ag1 0.0000 0.0000 0.5000
Os1 0.0000 0.5000 0.7500
```

M_tot, μB per atom: 0.13
D(E_F), states/eV/cell: 9.1

Which structure is the most stable? The one labeled *w*.

*w*
Compound: BaAgOs
Source: Alexandria
Functional: GGA-PBE
Structure: optimized geometry

CIF file:
```
data_BaAgOs
_chemical_formula_sum 'Ba2 Ag2 Os2'
_space_group_name_H-M_alt 'I 4 m m'
_space_group_IT_number 107
_space_group_name_Hall 'I 4 -2'
_cell_length_a 3.6533
_cell_length_b 3.6533
_cell_length_c 11.1805
_cell_angle_alpha 90.00
_cell_angle_beta 90.00
_cell_angle_gamma 90.00
loop_
_atom_site_label
_atom_site_fract_x
_atom_site_fract_y
_atom_site_fract_z
Ba1 0.0000 0.0000 0.0000
Ag1 0.0000 0.0000 0.2830
Os1 0.0000 0.0000 0.7099
```

M_tot, μB per atom: 0.00
D(E_F), states/eV/cell: 6.6

*x*
Compound: BaAgOs
Source: Alexandria
Functional: GGA-PBE
Structure: optimized geometry

CIF file:
```
data_BaAgOs
_chemical_formula_sum 'Ba1 Ag1 Os1'
_space_group_name_H-M_alt 'P 3 m 1'
_space_group_IT_number 156
_space_group_name_Hall 'P 3 -2"'
_cell_length_a 5.1748
_cell_length_b 5.1748
_cell_length_c 3.0401
_cell_angle_alpha 90.00
_cell_angle_beta 90.00
_cell_angle_gamma 120.00
loop_
_atom_site_label
_atom_site_fract_x
_atom_site_fract_y
_atom_site_fract_z
Ba1 0.0000 0.0000 0.0000
Ag1 0.6667 0.3333 0.5007
Os1 0.3333 0.6667 0.4988
```

M_tot, μB per atom: 0.04
D(E_F), states/eV/cell: 3.2

*y*
Compound: BaAgOs
Source: Alexandria
Functional: GGA-PBE
Structure: optimized geometry

CIF file:
```
data_BaAgOs
_chemical_formula_sum 'Ba4 Ag4 Os4'
_space_group_name_H-M_alt 'F -4 3 m'
_space_group_IT_number 216
_space_group_name_Hall 'F -4 2 3'
_cell_length_a 6.9236
_cell_length_b 6.9236
_cell_length_c 6.9236
_cell_angle_alpha 90.00
_cell_angle_beta 90.00
_cell_angle_gamma 90.00
loop_
_atom_site_label
_atom_site_fract_x
_atom_site_fract_y
_atom_site_fract_z
Ba1 0.0000 0.0000 0.0000
Ag1 0.0000 0.0000 0.5000
Os1 0.2500 0.2500 0.2500
```

M_tot, μB per atom: 0.34
D(E_F), states/eV/cell: 15.7

*z*
Compound: BaAgOs
Source: Alexandria
Functional: GGA-PBE
Structure: optimized geometry

CIF file:
```
data_BaAgOs
_chemical_formula_sum 'Ba2 Ag2 Os2'
_space_group_name_H-M_alt 'I m m 2'
_space_group_IT_number 44
_space_group_name_Hall 'I 2 -2'
_cell_length_a 2.9737
_cell_length_b 4.3951
_cell_length_c 11.0925
_cell_angle_alpha 90.00
_cell_angle_beta 90.00
_cell_angle_gamma 90.00
loop_
_atom_site_label
_atom_site_fract_x
_atom_site_fract_y
_atom_site_fract_z
Ba1 0.0000 0.0000 0.0000
Ag1 0.0000 0.0000 0.2822
Os1 0.0000 0.0000 0.7066
```

M_tot, μB per atom: 0.00
D(E_F), states/eV/cell: 5.2

Which structure is the most stable? The one labeled *z*.